[1]
A relaxed ZrSc4Ir5 crystal. Source: Alexandria via LeMat-Bulk, functional PBE-GGA.

abc: 3.1668 3.1668 17.0207
angles: 90.00 90.00 90.00
Element x y z (fractional)
Zr 0.0000 0.0000 0.0000
Ir 0.5000 0.5000 0.3033
Ir 0.5000 0.5000 0.1045
Ir 0.5000 0.5000 0.8955
Ir 0.5000 0.5000 0.5000
Ir 0.5000 0.5000 0.6967
Sc 0.0000 0.0000 0.5983
Sc 0.0000 0.0000 0.2052
Sc 0.0000 0.0000 0.7948
Sc 0.0000 0.0000 0.4017

[2]
A relaxed ZrSc4Ir crystal. Source: Alexandria via LeMat-Bulk, functional PBE-GGA.

abc: 6.4001 5.4167 9.3813
angles: 96.18 100.83 122.05
Element x y z (fractional)
Sc 0.1715 0.0555 0.4039
Sc 0.4633 0.7143 0.9297
Sc 0.8285 0.9445 0.5961
Sc 0.9663 0.2153 0.9297
Sc 0.5367 0.2857 0.0703
Sc 0.2676 0.6517 0.5961
Sc 0.7324 0.3483 0.4039
Sc 0.0337 0.7847 0.0703
Zr 0.3808 0.6308 0.2615
Zr 0.6192 0.3692 0.7385
Ir 0.1546 0.9046 0.8093
Ir 0.8454 0.0954 0.1907

Calculated values
The polymorph energy (0 for the lowest one) comes out at 0 meV/atom.

[3]
A relaxed ZrScIr2 crystal. Source: Alexandria via LeMat-Bulk, functional PBE-GGA.

abc: 5.8684 5.8684 5.8684
angles: 58.76 151.66 129.68
Element x y z (fractional)
Sc 0.0000 0.0000 0.0000
Ir 0.0000 0.7502 0.7502
Ir 0.0000 0.2498 0.2498
Zr 0.0000 0.5000 0.5000

[4]
A relaxed ZrSc2Ir crystal. Source: Alexandria via LeMat-Bulk, functional PBE-GGA.

abc: 3.3376 3.3376 7.5050
angles: 90.00 90.00 90.00
Element x y z (fractional)
Ir 0.5000 0.5000 0.7536
Sc 0.0000 0.0000 0.9478
Sc 0.5000 0.5000 0.2649
Zr 0.0000 0.0000 0.5337

Calculated values
The polymorph energy (0 for the lowest one) comes out at 107 meV/atom.

[5]
A relaxed ZrSc2Ir3 crystal. Source: Alexandria via LeMat-Bulk, functional PBE-GGA.

abc: 3.1528 3.1528 10.3973
angles: 90.00 90.00 90.00
Element x y z (fractional)
Ir 0.0000 0.0000 0.0000
Ir 0.0000 0.0000 0.3283
Ir 0.0000 0.0000 0.6717
Zr 0.5000 0.5000 0.5000
Sc 0.5000 0.5000 0.8383
Sc 0.5000 0.5000 0.1617

Calculated values
The polymorph energy (0 for the lowest one) comes out at 0 meV/atom.

[6]
A relaxed ZrSc2Ir crystal. Source: Alexandria via LeMat-Bulk, functional PBE-GGA.

abc: 9.3403 9.3403 9.3403
angles: 20.72 20.72 20.72
Element x y z (fractional)
Ir 0.7502 0.7502 0.7502
Zr 0.4860 0.4860 0.4860
Sc 0.2464 0.2464 0.2464
Sc 0.0174 0.0174 0.0174

Calculated values
The polymorph energy (0 for the lowest one) comes out at 347 meV/atom.

[7]
A relaxed ZrSc3Ir3 crystal. Source: Alexandria via LeMat-Bulk, functional PBE-GGA.

abc: 5.5906 5.6271 5.5906
angles: 109.60 109.34 109.60
Element x y z (fractional)
Ir 0.4999 0.0035 0.4999
Ir 0.0000 0.5036 0.5001
Ir 0.5001 0.5036 0.0000
Sc 0.5004 0.5039 0.5004
Sc 0.0000 0.0036 0.4996
Sc 0.4996 0.0036 0.0000
Zr 0.0000 0.5032 0.0000

[8]
A relaxed ZrSc2Ir crystal. Source: Alexandria via LeMat-Bulk, functional PBE-GGA.

abc: 3.1162 4.3869 5.7350
angles: 90.00 90.00 90.00
Element x y z (fractional)
Ir 0.5000 0.5000 0.7500
Zr 0.5000 0.5000 0.2500
Sc 0.0000 0.0000 0.9822
Sc 0.0000 0.0000 0.5178

Calculated values
The polymorph energy (0 for the lowest one) comes out at 248 meV/atom.

[9]
A relaxed Zr2ScIr crystal. Source: Alexandria via LeMat-Bulk, functional PBE-GGA.

abc: 5.4152 5.5570 3.0870
angles: 80.65 76.32 114.93
Element x y z (fractional)
Zr 0.0000 0.0000 0.0000
Zr 0.5000 0.0000 0.5000
Sc 0.5000 0.5000 0.0000
Ir 0.0000 0.5000 0.5000

Calculated values
The polymorph energy (0 for the lowest one) comes out at 235 meV/atom.

[10]
A relaxed Zr2ScIr crystal. Source: Alexandria via LeMat-Bulk, functional PBE-GGA.

abc: 4.0520 5.9018 7.7131
angles: 90.00 90.00 110.08
Element x y z (fractional)
Sc 0.9487 0.8976 0.2500
Sc 0.0513 0.1024 0.7500
Zr 0.6399 0.2800 0.4541
Zr 0.3601 0.7200 0.5459
Zr 0.3601 0.7200 0.9541
Zr 0.6399 0.2800 0.0459
Ir 0.7758 0.5518 0.7500
Ir 0.2242 0.4482 0.2500

Calculated values
The polymorph energy (0 for the lowest one) comes out at 19 meV/atom.

[11]
A relaxed ZrSc2Ir crystal. Source: Alexandria via LeMat-Bulk, functional PBE-GGA.

abc: 10.3299 10.3299 10.3299
angles: 17.31 17.31 17.31
Element x y z (fractional)
Sc 0.1001 0.1001 0.1001
Sc 0.8999 0.8999 0.8999
Ir 0.5000 0.5000 0.5000
Zr 0.0000 0.0000 0.0000

Calculated values
The polymorph energy (0 for the lowest one) comes out at 458 meV/atom.

[12]
A relaxed ZrSc2Ir crystal. Source: Alexandria via LeMat-Bulk, functional PBE-GGA.

abc: 5.8011 5.8011 5.8011
angles: 146.10 131.36 60.60
Element x y z (fractional)
Sc 0.4636 0.4636 0.0000
Sc 0.0364 0.0364 0.0000
Zr 0.7500 0.2500 0.5000
Ir 0.2500 0.7500 0.5000

Calculated values
The polymorph energy (0 for the lowest one) comes out at 15 meV/atom.

[13]
A relaxed Zr2ScIr2 crystal. Source: Alexandria via LeMat-Bulk, functional PBE-GGA.

abc: 7.4303 7.4303 3.5511
angles: 90.00 90.00 90.00
Element x y z (fractional)
Sc 0.5000 0.5000 0.0000
Sc 0.0000 0.0000 0.0000
Ir 0.8621 0.6379 0.0000
Ir 0.6379 0.1379 0.0000
Ir 0.1379 0.3621 0.0000
Ir 0.3621 0.8621 0.0000
Zr 0.6647 0.8353 0.5000
Zr 0.1647 0.6647 0.5000
Zr 0.3353 0.1647 0.5000
Zr 0.8353 0.3353 0.5000

Calculated values
The polymorph energy (0 for the lowest one) comes out at 33 meV/atom.

[14]
A relaxed ZrScIr2 crystal. Source: Alexandria via LeMat-Bulk, functional PBE-GGA.

abc: 4.7417 3.1199 4.7420
angles: 90.00 90.00 90.00
Element x y z (fractional)
Ir 0.0000 0.1254 0.8752
Ir 0.5000 0.1245 0.3749
Zr 0.5000 0.6249 0.8749
Sc 0.0000 0.6252 0.3751

[15]
A relaxed Zr2ScIr crystal. Source: Alexandria via LeMat-Bulk, functional PBE-GGA.

abc: 5.7627 5.7627 4.8503
angles: 65.10 65.10 34.36
Element x y z (fractional)
Zr 0.4697 0.4697 0.5302
Zr 0.0303 0.0303 0.9698
Ir 0.7500 0.7500 0.7500
Sc 0.2500 0.2500 0.2500

Calculated values
The polymorph energy (0 for the lowest one) comes out at 0 meV/atom.

[16]
A relaxed ZrScIr2 crystal. Source: Alexandria via LeMat-Bulk, functional PBE-GGA.

abc: 4.5163 4.5163 5.5740
angles: 78.99 78.99 40.84
Element x y z (fractional)
Sc 0.7500 0.7500 0.7500
Zr 0.2500 0.2500 0.2500
Ir 0.9998 0.9998 0.9968
Ir 0.5002 0.5002 0.5032

[17]
A relaxed Zr3ScIr crystal. Source: Alexandria via LeMat-Bulk, functional PBE-GGA.

abc: 5.0914 5.0914 5.0914
angles: 90.00 90.00 90.00
Element x y z (fractional)
Zr 0.0000 0.5000 0.0000
Zr 0.0000 0.0000 0.5000
Zr 0.5000 0.0000 0.0000
Ir 0.0000 0.0000 0.0000
Sc 0.5000 0.5000 0.5000

Calculated values
The polymorph energy (0 for the lowest one) comes out at 0 meV/atom.

[18]
A relaxed Zr3ScIr crystal. Source: Alexandria via LeMat-Bulk, functional PBE-GGA.

abc: 4.8574 4.8574 4.8574
angles: 90.00 90.00 90.00
Element x y z (fractional)
Zr 0.0000 0.0000 0.5000
Zr 0.0000 0.5000 0.0000
Zr 0.5000 0.0000 0.0000
Ir 0.5000 0.5000 0.5000
Sc 0.0000 0.0000 0.0000

Calculated values
The polymorph energy (0 for the lowest one) comes out at 1145 meV/atom.

[19]
A relaxed ZrSc2Ir crystal. Source: Alexandria via LeMat-Bulk, functional PBE-GGA.

abc: 4.7783 4.7783 4.7783
angles: 60.00 60.00 60.00
Last column: magnetic moment on the atom in μB.
Element x y z (fractional)
Sc 0.0000 0.0000 0.0000  0.35
Sc 0.7500 0.7500 0.7500  0.17
Ir 0.5000 0.5000 0.5000  -0.04
Zr 0.2500 0.2500 0.2500  0.17

Calculated values
The polymorph energy (0 for the lowest one) comes out at 154 meV/atom.

[20]
A relaxed ZrScIr2 crystal. Source: Alexandria via LeMat-Bulk, functional PBE-GGA.

abc: 3.6762 3.6762 5.5941
angles: 90.00 90.00 90.00
Element x y z (fractional)
Sc 0.0000 0.0000 0.4430
Zr 0.5000 0.5000 0.7981
Ir 0.5000 0.5000 0.3125
Ir 0.0000 0.0000 0.9464

[21]
A relaxed ZrSc2Ir crystal. Source: Alexandria via LeMat-Bulk, functional PBE-GGA.

abc: 4.8310 4.8310 3.3010
angles: 90.00 90.00 90.00
Element x y z (fractional)
Sc 0.0000 0.0000 0.0000
Sc 0.5000 0.5000 0.0000
Zr 0.5000 0.0000 0.5000
Ir 0.0000 0.5000 0.5000

Calculated values
The polymorph energy (0 for the lowest one) comes out at 246 meV/atom.

[22]
A relaxed Zr2ScIr crystal. Source: Alexandria via LeMat-Bulk, functional PBE-GGA.

abc: 9.6719 9.6719 9.6719
angles: 19.10 19.10 19.10
Element x y z (fractional)
Sc 0.7500 0.7500 0.7500
Zr 0.9899 0.9899 0.9899
Zr 0.5101 0.5101 0.5101
Ir 0.2500 0.2500 0.2500

Calculated values
The polymorph energy (0 for the lowest one) comes out at 349 meV/atom.

[23]
A relaxed Zr2ScIr crystal. Source: Alexandria via LeMat-Bulk, functional PBE-GGA.

abc: 4.5779 3.1618 5.7824
angles: 73.67 90.00 90.00
Element x y z (fractional)
Zr 0.0000 0.4544 0.4801
Zr 0.0000 0.0456 0.0199
Sc 0.5000 0.7500 0.7500
Ir 0.5000 0.2500 0.2500

Calculated values
The polymorph energy (0 for the lowest one) comes out at 147 meV/atom.

[24]
A relaxed ZrScIr2 crystal. Source: Alexandria via LeMat-Bulk, functional PBE-GGA.

abc: 3.1313 3.5655 6.2610
angles: 90.00 90.00 90.00
Element x y z (fractional)
Ir 0.0000 0.0000 0.4990
Ir 0.0000 0.0000 0.0010
Sc 0.5000 0.5000 0.2500
Zr 0.5000 0.5000 0.7500

[25]
A relaxed Zr2ScIr crystal. Source: Alexandria via LeMat-Bulk, functional PBE-GGA.

abc: 5.7457 5.7457 5.7457
angles: 145.48 130.48 61.76
Element x y z (fractional)
Zr 0.9981 0.9981 0.0000
Zr 0.7212 0.2212 0.5000
Ir 0.5010 0.5010 0.0000
Sc 0.2798 0.7798 0.5000

Calculated values
The polymorph energy (0 for the lowest one) comes out at 16 meV/atom.

[26]
A relaxed Zr2ScIr crystal. Source: Alexandria via LeMat-Bulk, functional PBE-GGA.

abc: 9.6606 9.6606 9.6606
angles: 18.96 18.96 18.96
Element x y z (fractional)
Sc 0.7613 0.7613 0.7613
Zr 0.2407 0.2407 0.2407
Zr 0.9980 0.9980 0.9980
Ir 0.5000 0.5000 0.5000

Calculated values
The polymorph energy (0 for the lowest one) comes out at 286 meV/atom.

[27]
A relaxed Zr2ScIr crystal. Source: Alexandria via LeMat-Bulk, functional PBE-GGA.

abc: 3.3424 4.7685 4.9034
angles: 90.00 90.00 90.00
Element x y z (fractional)
Zr 0.5000 0.5000 0.0000
Zr 0.0000 0.0000 0.0000
Sc 0.0000 0.5000 0.5000
Ir 0.5000 0.0000 0.5000

Calculated values
The polymorph energy (0 for the lowest one) comes out at 149 meV/atom.

[28]
A relaxed ZrSc2Ir crystal. Source: Alexandria via LeMat-Bulk, functional PBE-GGA.

abc: 4.5232 3.1594 5.8432
angles: 74.21 90.00 90.00
Element x y z (fractional)
Sc 0.0000 0.9312 0.9794
Sc 0.5000 0.2477 0.2490
Zr 0.0000 0.5671 0.5256
Ir 0.5000 0.7540 0.7460

Calculated values
The polymorph energy (0 for the lowest one) comes out at 181 meV/atom.

[29]
A relaxed Zr2ScIr3 crystal. Source: Alexandria via LeMat-Bulk, functional PBE-GGA.

abc: 3.3572 3.3572 9.4441
angles: 90.00 90.00 90.00
Element x y z (fractional)
Zr 0.5000 0.5000 0.8299
Zr 0.5000 0.5000 0.1701
Ir 0.0000 0.0000 0.6659
Ir 0.0000 0.0000 0.3341
Ir 0.0000 0.0000 0.0000
Sc 0.5000 0.5000 0.5000

Calculated values
The polymorph energy (0 for the lowest one) comes out at 0 meV/atom.

| no. | uncorrected energy (eV per atom) | density of states at the Fermi level (states/eV/f.u.) | ΔE_f (eV/atom) |
| --- | --- | --- | --- |
| 1 | -8.7872 | 3.6 | -0.969 |
| 2 | -7.3302 | 7.6 | -0.208 |
| 3 | -7.9755 | 2.2 | 0.175 |
| 4 | -7.9540 | 4.8 | -0.436 |
| 5 | -8.9151 | 2.0 | -0.949 |
| 6 | -7.7141 | 5.2 | -0.196 |
| 7 | -8.5385 | 6.3 | -0.806 |
| 8 | -7.8129 | 4.4 | -0.295 |
| 9 | -8.3269 | 5.0 | -0.255 |
| 10 | -8.5430 | 3.2 | -0.471 |
| 11 | -7.6024 | 4.6 | -0.084 |
| 12 | -8.0458 | 2.5 | -0.528 |
| 13 | -8.9301 | 5.4 | -0.700 |
| 14 | -9.0566 | 1.7 | -0.906 |
| 15 | -8.5617 | 4.2 | -0.490 |
| 16 | -8.5890 | 3.6 | -0.439 |
| 17 | -8.0363 | 8.3 | 0.131 |
| 18 | -6.8914 | 3.9 | 1.276 |
| 19 | -7.9067 | 5.4 | -0.389 |
| 20 | -8.7471 | 2.4 | -0.597 |
| 21 | -7.8143 | 4.9 | -0.296 |
| 22 | -8.2130 | 4.0 | -0.141 |
| 23 | -8.4150 | 4.0 | -0.343 |
| 24 | -9.0452 | 1.9 | -0.895 |
| 25 | -8.5455 | 3.7 | -0.473 |
| 26 | -8.2758 | 3.3 | -0.204 |
| 27 | -8.4123 | 5.2 | -0.340 |
| 28 | -7.8801 | 4.2 | -0.362 |
| 29 | -9.2043 | 2.5 | -0.869 |